No. 1
Ti3AuO: optimized geometry, GGA-PBE.

The density of states at the Fermi level is 3.778 states/eV/f.u. The total energy is -7.5799 eV per atom. Its energy relative to the elements, uncorrected is -1.196 eV/atom.

The space group is P-1 (No. 2) and the conventional cell measures 5.426, 5.565 and 5.675 Å, with angles of 76.46, 86.15 and 62.26 degrees. The distinct sites, in fractional coordinates, are Ti at (0.003, 0.259, 0.451), Ti at (0.033, 0.245, 0.955), Ti at (0.476, 0.277, 0.203), Au at (0.491, 0.268, 0.698) and O at (0.105, 0.948, 0.757).

No. 2
TiAuO2: optimized geometry, GGA-PBE.

The density of states at the Fermi level is 6.856 states/eV/f.u. The total energy is -5.8988 eV per atom. Its energy relative to the elements, uncorrected is -0.627 eV/atom.

The space group is Fm-3m (No. 225) and the conventional cell measures 5.669, 5.669 and 5.669 Å, with angles of 90.00, 90.00 and 90.00 degrees. The distinct sites, in fractional coordinates, are Ti at (0.000, 0.000, 0.000), Au at (0.000, 0.000, 0.500) and O at (0.250, 0.250, 0.250).

No. 3
Ti3AuO: optimized geometry, GGA-PBE.

The density of states at the Fermi level is 6.182 states/eV/f.u. The total energy is -7.4267 eV per atom. Its energy relative to the elements, uncorrected is -1.043 eV/atom.

The space group is Imma (No. 74) and the conventional cell measures 4.536, 11.202 and 6.238 Å, with angles of 90.00, 90.00 and 90.00 degrees. The distinct sites, in fractional coordinates, are Ti at (0.000, 0.122, 0.122), Ti at (0.000, 0.250, 0.579), Au at (0.000, 0.000, 0.500) and O at (0.000, 0.250, 0.903).

No. 4
Ti3AuO: optimized geometry, GGA-PBE.

The density of states at the Fermi level is 6.169 states/eV/f.u. The total energy is -6.4049 eV per atom. Its energy relative to the elements, uncorrected is -0.021 eV/atom.

The space group is I-4m2 (No. 119) and the conventional cell measures 4.280, 4.280 and 21.228 Å, with angles of 90.00, 90.00 and 90.00 degrees. The distinct sites, in fractional coordinates, are Ti at (0.000, 0.000, 0.184), Ti at (0.000, 0.252, 0.617), Au at (0.000, 0.000, 0.500), Au at (0.000, 0.500, 0.750) and O at (0.000, 0.500, 0.152).

No. 5
TiAu3O: optimized geometry, GGA-PBE.

The density of states at the Fermi level is 13.924 states/eV/f.u. The total energy is -3.2317 eV per atom. Its energy relative to the elements, uncorrected is 1.305 eV/atom.

The space group is Pm-3m (No. 221) and the conventional cell measures 4.974, 4.974 and 4.974 Å, with angles of 90.00, 90.00 and 90.00 degrees. The distinct sites, in fractional coordinates, are Ti at (0.000, 0.000, 0.000), Au at (0.000, 0.000, 0.500) and O at (0.500, 0.500, 0.500).

No. 6
Ti3AuO: optimized geometry, GGA-PBE.

The density of states at the Fermi level is 3.508 states/eV/f.u. The total energy is -7.3236 eV per atom. Its energy relative to the elements, uncorrected is -0.940 eV/atom.

The space group is P6_3/mmc (No. 194) and the conventional cell measures 3.3713, 3.3713 and 16.4504 Å, with angles of 90.00, 90.00 and 120.00 degrees. The distinct sites, in fractional coordinates, are Ti at (0.0000, 0.0000, 0.2500), Ti at (0.3333, 0.6667, 0.1208), Au at (0.0000, 0.0000, 0.0000) and O at (0.3333, 0.6667, 0.2500).

No. 7
TiAuO2: optimized geometry, GGA-PBE.

The density of states at the Fermi level is 3.949 states/eV/f.u. The total energy is -5.7500 eV per atom. Its energy relative to the elements, uncorrected is -0.478 eV/atom.

The space group is R-3m (No. 166, hexagonal axes) and the conventional cell measures 3.1332, 3.1332 and 20.2430 Å, with angles of 90.00, 90.00 and 120.00 degrees. The distinct sites, in fractional coordinates, are Ti at (0.0000, 0.0000, 0.0000), Au at (0.0000, 0.0000, 0.5000) and O at (0.0000, 0.0000, 0.0893).

No. 8
Ti3AuO: optimized geometry, GGA-PBE.

The density of states at the Fermi level is 4.063 states/eV/f.u. The total energy is -7.1438 eV per atom. Its energy relative to the elements, uncorrected is -0.760 eV/atom.

The space group is I-4m2 (No. 119) and the conventional cell measures 5.492, 5.492 and 10.923 Å, with angles of 90.00, 90.00 and 90.00 degrees. The distinct sites, in fractional coordinates, are Ti at (0.000, 0.000, 0.129), Ti at (0.000, 0.261, 0.615), Au at (0.000, 0.500, 0.118), O at (0.000, 0.000, 0.500) and O at (0.000, 0.500, 0.750).